Be2ReRu | SCAN | PBEsol geometry

abc: 2.6586 2.6586 7.7839
angles: 80.17 80.17 60.00
Atoms (fractional coordinates):
Re 0.5000 0.5000 0.5000
Be 0.2533 0.2533 0.2402
Be 0.7467 0.7467 0.7598
Ru 0.0000 0.0000 0.0000

Properties
- space group = R-3m
- distance to the lowest polymorph of the same formula (meV/atom) = 16.4
- energy of formation (kcal/mol of atoms) = 0.215
- spin magnetization (μB/cell) = 0.00

---

Be3ReS | SCAN | PBEsol geometry

abc: 3.9164 3.9164 3.9164
angles: 90.00 90.00 90.00
Atoms (fractional coordinates):
Re 0.5000 0.5000 0.5000
S 0.0000 0.0000 0.0000
Be 0.0000 0.5000 0.0000
Be 0.0000 0.0000 0.5000
Be 0.5000 0.0000 0.0000

Properties
- space group = Pm-3m
- energy relative to the elements, uncorrected (eV per atom) = 1.00
- spin magnetization (μB/cell) = 0.00

---

BeReSb2 | SCAN | PBEsol geometry

abc: 3.2859 3.2859 6.5199
angles: 90.00 90.00 90.00
Atoms (fractional coordinates):
Re 0.5000 0.5000 0.5000
Be 0.5000 0.5000 0.0000
Sb 0.0000 0.0000 0.7455
Sb 0.0000 0.0000 0.2545

Properties
- space group = P4/mmm
- energy relative to the elements, uncorrected (eV per atom) = 0.69
- spin magnetization (μB/cell) = 0.00

---

BeReSb2 | SCAN | PBEsol geometry

abc: 3.5077 4.1377 4.9584
angles: 90.00 90.00 90.00
Atoms (fractional coordinates):
Re 0.0000 0.5000 0.5000
Be 0.5000 0.5000 0.0000
Sb 0.0000 0.0000 0.0000
Sb 0.5000 0.0000 0.5000

Properties
- space group = Pmmm
- energy relative to the elements, uncorrected (eV per atom) = 1.01
- spin magnetization (μB/cell) = 0.00

---

BeReSb2 | SCAN | PBEsol geometry

abc: 3.5137 4.2470 5.0104
angles: 90.00 110.53 90.00
Atoms (fractional coordinates):
Re 0.5610 0.5000 0.1220
Be 0.6924 0.0000 0.3849
Sb 0.9722 0.0000 0.9444
Sb 0.2725 0.5000 0.5450

Properties
- space group = Amm2
- energy relative to the elements, uncorrected (eV per atom) = 0.32
- spin magnetization (μB/cell) = 0.00

---

BeReSb2 | SCAN | PBEsol geometry

abc: 3.3930 3.4744 6.8763
angles: 104.63 104.28 90.00
Atoms (fractional coordinates):
Re 0.1719 0.6719 0.3438
Be 0.5499 0.5499 0.0997
Sb 0.0006 0.0006 0.0012
Sb 0.7777 0.2777 0.5553

Properties
- space group = Imm2
- energy relative to the elements, uncorrected (eV per atom) = 0.37
- spin magnetization (μB/cell) = 0.00

---

BeRe2SbW | SCAN | PBEsol geometry

abc: 4.2716 4.7498 4.7498
angles: 90.00 90.00 90.00
Atoms (fractional coordinates):
Re 0.0000 0.0000 0.5000
Re 0.0000 0.5000 0.0000
Be 0.5000 0.0000 0.0000
W 0.0000 0.0000 0.0000
Sb 0.5000 0.5000 0.5000

Properties
- space group = P4/mmm
- energy relative to the elements, uncorrected (eV per atom) = 1.82
- spin magnetization (μB/cell) = 0.16

---

ScBeRe | SCAN | PBEsol geometry

abc: 2.6863 4.3487 4.3487
angles: 120.00 90.00 90.00
Atoms (fractional coordinates):
Sc 0.3269 0.6667 0.3333
Re 0.7555 0.3333 0.6667
Be 0.9176 0.0000 0.0000

Properties
- space group = P3m1
- distance to the lowest polymorph of the same formula (meV/atom) = 0.0
- energy of formation (kcal/mol of atoms) = 2.252
- spin magnetization (μB/cell) = 0.00

---

ScBe4Re | SCAN | PBEsol geometry

abc: 4.5158 4.5158 4.5158
angles: 60.00 60.00 60.00
Each line ends with the local moment (μB).
Atoms (fractional coordinates):
Sc 0.0000 0.0000 0.0000  0.26
Re 0.7500 0.7500 0.7500  0.48
Be 0.3766 0.3766 0.3766  0.03
Be 0.3766 0.3766 0.8701  0.03
Be 0.8701 0.3766 0.3766  0.03
Be 0.3766 0.8701 0.3766  0.03

Properties
- space group = F-43m
- energy of formation (kcal/mol of atoms) = -4.438
- spin magnetization (μB/cell) = 1.23

---

ScBeRe | SCAN | PBEsol geometry

abc: 4.1614 4.1614 4.1614
angles: 60.00 60.00 60.00
Atoms (fractional coordinates):
Sc 0.0000 0.0000 0.0000
Re 0.2500 0.2500 0.2500
Be 0.5000 0.5000 0.5000

Properties
- space group = F-43m
- distance to the lowest polymorph of the same formula (meV/atom) = 784.9
- energy of formation (kcal/mol of atoms) = 20.353
- spin magnetization (μB/cell) = 0.00

---

BeReSe2 | SCAN | PBEsol geometry

abc: 3.0762 3.2001 7.3049
angles: 90.00 90.00 118.73
Atoms (fractional coordinates):
Re 0.5000 0.0000 0.0000
Se 0.0000 0.0000 0.7266
Se 0.0000 0.0000 0.2734
Be 0.5000 0.0000 0.5000

Properties
- space group = Cmmm
- energy relative to the elements, uncorrected (eV per atom) = 0.77
- spin magnetization (μB/cell) = 0.00

---

BeReSe2 | SCAN | PBEsol geometry

abc: 3.2772 4.1982 5.0724
angles: 88.45 90.00 112.97
Atoms (fractional coordinates):
Re 0.5000 0.0000 0.5000
Se 0.2041 0.4083 0.2656
Se 0.7959 0.5917 0.7344
Be 0.0000 0.0000 0.0000

Properties
- space group = C2/m
- energy relative to the elements, uncorrected (eV per atom) = 0.37
- spin magnetization (μB/cell) = 0.00

---

BeReSe2 | SCAN | PBEsol geometry

abc: 3.0656 4.3809 4.3809
angles: 90.00 90.00 90.00
Each line ends with the local moment (μB).
Atoms (fractional coordinates):
Re 0.5000 0.0000 0.0000  0.58
Se 0.0000 0.0000 0.5000  -0.02
Se 0.0000 0.5000 0.0000  -0.02
Be 0.5000 0.5000 0.5000  -0.01

Properties
- space group = P4/mmm
- energy relative to the elements, uncorrected (eV per atom) = 0.77
- spin magnetization (μB/cell) = 0.65

---

BeRe3Se | SCAN | PBEsol geometry

abc: 4.4684 4.4684 4.4684
angles: 90.00 90.00 90.00
Each line ends with the local moment (μB).
Atoms (fractional coordinates):
Re 0.0000 0.5000 0.0000  -0.51
Re 0.0000 0.0000 0.5000  -0.51
Re 0.5000 0.0000 0.0000  -0.51
Se 0.0000 0.0000 0.0000  0.03
Be 0.5000 0.5000 0.5000  0.03

Properties
- space group = Pm-3m
- energy relative to the elements, uncorrected (eV per atom) = 2.05
- spin magnetization (μB/cell) = 1.76

---

BeRe4Si | SCAN | PBEsol geometry

abc: 5.0793 5.0793 5.0793
angles: 60.00 60.00 60.00
Atoms (fractional coordinates):
Be 0.0000 0.0000 0.0000
Re 0.3747 0.3747 0.3747
Re 0.3747 0.3747 0.8758
Re 0.8758 0.3747 0.3747
Re 0.3747 0.8758 0.3747
Si 0.7500 0.7500 0.7500

Properties
- space group = F-43m
- energy relative to the elements, uncorrected (eV per atom) = 0.78
- spin magnetization (μB/cell) = 0.00

---

BeRe3Si | SCAN | PBEsol geometry

abc: 4.0873 4.0873 4.0873
angles: 90.00 90.00 90.00
Atoms (fractional coordinates):
Re 0.0000 0.5000 0.0000
Re 0.0000 0.0000 0.5000
Re 0.5000 0.0000 0.0000
Si 0.5000 0.5000 0.5000
Be 0.0000 0.0000 0.0000

Properties
- space group = Pm-3m
- energy relative to the elements, uncorrected (eV per atom) = 0.93
- spin magnetization (μB/cell) = 0.00

---

Be2ReSi | SCAN | PBEsol geometry

abc: 3.1013 3.7163 4.5066
angles: 114.35 110.13 90.00
Atoms (fractional coordinates):
Re 0.5000 0.0000 0.0000
Si 0.0000 0.5000 0.0000
Be 0.7504 0.7504 0.5009
Be 0.2496 0.2496 0.4991

Properties
- space group = Immm
- energy relative to the elements, uncorrected (eV per atom) = -0.16
- spin magnetization (μB/cell) = 0.00

---

Be4ReSi | SCAN | PBEsol geometry

abc: 4.2826 4.2826 4.2826
angles: 60.00 60.00 60.00
Atoms (fractional coordinates):
Re 0.7500 0.7500 0.7500
Si 0.0000 0.0000 0.0000
Be 0.3771 0.3771 0.3771
Be 0.3771 0.3771 0.8686
Be 0.8686 0.3771 0.3771
Be 0.3771 0.8686 0.3771

Properties
- space group = F-43m
- energy relative to the elements, uncorrected (eV per atom) = -0.20
- spin magnetization (μB/cell) = 0.00

---

Be2ReSi | SCAN | PBEsol geometry

abc: 3.9805 3.9805 3.9805
angles: 60.00 60.00 60.00
Atoms (fractional coordinates):
Re 0.5000 0.5000 0.5000
Si 0.2500 0.2500 0.2500
Be 0.0000 0.0000 0.0000
Be 0.7500 0.7500 0.7500

Properties
- space group = F-43m
- energy relative to the elements, uncorrected (eV per atom) = 0.12
- spin magnetization (μB/cell) = 0.00

---

Be2ReSi | SCAN | PBEsol geometry

abc: 3.1812 3.6170 4.4348
angles: 114.07 111.02 90.00
Atoms (fractional coordinates):
Re 0.4937 0.4937 0.9874
Si 0.2533 0.7533 0.5066
Be 0.0110 0.0110 0.0221
Be 0.7420 0.2420 0.4839

Properties
- space group = Imm2
- energy relative to the elements, uncorrected (eV per atom) = -0.25
- spin magnetization (μB/cell) = 0.00

---

no.,mass density (g/cm³)
1,10.85
2,6.78
3,10.35
4,10.12
5,10.40
6,9.61
7,11.84
8,9.07
9,6.81
10,7.83
11,9.30
12,9.13
13,9.97
14,12.03
15,14.01
16,14.49
17,8.80
18,7.48
19,8.65
20,9.00